Compound: Ce9MgSn2
Source: the Alexandria database
Functional: PBE
Structure: optimized geometry

Unit cell a=4.794 b=4.794 c=14.329 alpha=90.00 beta=90.00 gamma=90.00
Fractional coordinates of all 12 atoms:
Ce (0.000, 0.500, 0.169)
Ce (0.000, 0.500, 0.831)
Ce (0.500, 0.000, 0.500)
Ce (0.000, 0.500, 0.500)
Ce (0.500, 0.000, 0.169)
Sn (0.000, 0.000, 0.334)
Ce (0.500, 0.500, 0.671)
Ce (0.500, 0.500, 0.000)
Ce (0.500, 0.500, 0.329)
Ce (0.500, 0.000, 0.831)
Sn (0.000, 0.000, 0.666)
Mg (0.000, 0.000, 0.000)

Values from the calculation:
For the formation energy, the calculation gives -0.233 eV per atom. The calculation puts the total energy at -65.80 eV per cell. Its space-group type is P4/mmm. As for the calculated volume: 329.29 Å³ per cell.